# Cu2TePb PBE-GGA optimized geometry
# Energy above the lowest structure with this stoichiometry   2.268 kcal/mol of atoms
# Raw formation energy   0.13 eV per atom
# Calculated total energy   -3.628 eV/atom
# Density of states at the Fermi level   2.97 states/eV/cell
# Theoretical density   8.648 Mg/m³
data_Cu2TePb
_cell_length_a 3.823
_cell_length_b 3.851
_cell_length_c 12.050
_cell_angle_alpha 90.00
_cell_angle_beta 90.00
_cell_angle_gamma 90.00
_space_group_name_H-M_alt 'I m m 2'
_space_group_IT_number 44
_space_group_name_Hall 'I 2 -2'
loop_
_atom_site_label
_atom_site_fract_x
_atom_site_fract_y
_atom_site_fract_z
Cu1 0.000 0.000 0.000
Cu2 0.000 0.500 0.134
Te1 0.000 0.500 0.670
Pb1 0.000 0.000 0.407

---

# CuTePb2 PBE-GGA optimized geometry
# Raw formation energy   0.20 eV per atom
# Calculated total energy   -3.467 eV/atom
# Density of states at the Fermi level   3.07 states/eV/cell
# Theoretical density   9.136 Mg/m³
data_CuTePb2
_cell_length_a 6.720
_cell_length_b 8.256
_cell_length_c 3.968
_cell_angle_alpha 90.00
_cell_angle_beta 90.64
_cell_angle_gamma 90.00
_space_group_name_H-M_alt 'C 1 2/m 1'
_space_group_IT_number 12
_space_group_name_Hall '-C 2y'
loop_
_atom_site_label
_atom_site_fract_x
_atom_site_fract_y
_atom_site_fract_z
Cu1 0.000 0.000 0.000
Te1 0.000 0.500 0.000
Pb1 0.250 0.250 0.500

---

# CuTePb2 PBE-GGA optimized geometry
# Raw formation energy   0.15 eV per atom
# Calculated total energy   -3.517 eV/atom
# Density of states at the Fermi level   3.91 states/eV/cell
# Theoretical density   9.409 Mg/m³
data_CuTePb2
_cell_length_a 4.651
_cell_length_b 4.659
_cell_length_c 9.865
_cell_angle_alpha 90.00
_cell_angle_beta 90.00
_cell_angle_gamma 90.00
_space_group_name_H-M_alt 'C m m m'
_space_group_IT_number 65
_space_group_name_Hall '-C 2 2'
loop_
_atom_site_label
_atom_site_fract_x
_atom_site_fract_y
_atom_site_fract_z
Cu1 0.000 0.000 0.000
Te1 0.000 0.000 0.500
Pb1 0.000 0.500 0.189

---

# CuTePb2 PBE-GGA optimized geometry
# Raw formation energy   0.25 eV per atom
# Calculated total energy   -3.415 eV/atom
# Density of states at the Fermi level   4.11 states/eV/cell
# Theoretical density   9.289 Mg/m³
data_CuTePb2
_cell_length_a 4.737
_cell_length_b 4.737
_cell_length_c 9.647
_cell_angle_alpha 90.00
_cell_angle_beta 90.00
_cell_angle_gamma 90.00
_space_group_name_H-M_alt 'I 4/m m m'
_space_group_IT_number 139
_space_group_name_Hall '-I 4 2'
loop_
_atom_site_label
_atom_site_fract_x
_atom_site_fract_y
_atom_site_fract_z
Cu1 0.000 0.000 0.000
Te1 0.000 0.000 0.500
Pb1 0.000 0.500 0.250

---

# CuTePb2 PBE-GGA optimized geometry
# Raw formation energy   0.15 eV per atom
# Calculated total energy   -3.518 eV/atom
# Density of states at the Fermi level   3.28 states/eV/cell
# Theoretical density   9.309 Mg/m³
data_CuTePb2
_cell_length_a 4.051
_cell_length_b 5.688
_cell_length_c 9.375
_cell_angle_alpha 90.00
_cell_angle_beta 90.00
_cell_angle_gamma 90.00
_space_group_name_H-M_alt 'C m m 2'
_space_group_IT_number 35
_space_group_name_Hall 'C 2 -2'
loop_
_atom_site_label
_atom_site_fract_x
_atom_site_fract_y
_atom_site_fract_z
Cu1 0.000 0.000 0.000
Te1 0.000 0.500 0.177
Pb1 0.000 0.000 0.482
Pb2 0.000 0.500 0.791

---

# Cu2TePb PBE-GGA optimized geometry
# Energy above the lowest structure with this stoichiometry   5.629 kcal/mol of atoms
# Raw formation energy   0.28 eV per atom
# Calculated total energy   -3.483 eV/atom
# Density of states at the Fermi level   1.44 states/eV/cell
# Theoretical density   8.899 Mg/m³
data_Cu2TePb
_cell_length_a 3.925
_cell_length_b 3.972
_cell_length_c 5.528
_cell_angle_alpha 90.00
_cell_angle_beta 90.00
_cell_angle_gamma 90.00
_space_group_name_H-M_alt 'P m m m'
_space_group_IT_number 47
_space_group_name_Hall '-P 2 2'
loop_
_atom_site_label
_atom_site_fract_x
_atom_site_fract_y
_atom_site_fract_z
Cu1 0.000 0.000 0.000
Cu2 0.000 0.500 0.500
Te1 0.500 0.000 0.500
Pb1 0.500 0.500 0.000

---

# Cu2TePb PBE-GGA optimized geometry
# Energy above the lowest structure with this stoichiometry   2.471 kcal/mol of atoms
# Raw formation energy   0.14 eV per atom
# Calculated total energy   -3.619 eV/atom
# Density of states at the Fermi level   4.37 states/eV/cell
# Theoretical density   8.861 Mg/m³
data_Cu2TePb
_cell_length_a 4.0821
_cell_length_b 4.0821
_cell_length_c 17.9946
_cell_angle_alpha 90.00
_cell_angle_beta 90.00
_cell_angle_gamma 120.00
_space_group_name_H-M_alt 'R -3 m'
_space_group_IT_number 166
_space_group_name_Hall '-R 3 2"'
loop_
_atom_site_label
_atom_site_fract_x
_atom_site_fract_y
_atom_site_fract_z
Cu1 0.0000 0.0000 0.2395
Te1 0.0000 0.0000 0.5000
Pb1 0.0000 0.0000 0.0000

---

# CuTePb2 PBE-GGA optimized geometry
# Raw formation energy   0.20 eV per atom
# Calculated total energy   -3.461 eV/atom
# Density of states at the Fermi level   1.69 states/eV/cell
# Theoretical density   9.136 Mg/m³
data_CuTePb2
_cell_length_a 5.271
_cell_length_b 5.271
_cell_length_c 3.962
_cell_angle_alpha 90.00
_cell_angle_beta 90.00
_cell_angle_gamma 90.00
_space_group_name_H-M_alt 'P 4/m m m'
_space_group_IT_number 123
_space_group_name_Hall '-P 4 2'
loop_
_atom_site_label
_atom_site_fract_x
_atom_site_fract_y
_atom_site_fract_z
Cu1 0.000 0.000 0.000
Te1 0.500 0.500 0.000
Pb1 0.000 0.500 0.500

---

# Cu2TePb PBE-GGA optimized geometry
# Energy above the lowest structure with this stoichiometry   5.454 kcal/mol of atoms
# Raw formation energy   0.27 eV per atom
# Calculated total energy   -3.490 eV/atom
# Density of states at the Fermi level   2.92 states/eV/cell
# Theoretical density   8.767 Mg/m³
data_Cu2TePb
_cell_length_a 3.894
_cell_length_b 3.894
_cell_length_c 11.540
_cell_angle_alpha 90.00
_cell_angle_beta 90.00
_cell_angle_gamma 90.00
_space_group_name_H-M_alt 'I -4 m 2'
_space_group_IT_number 119
_space_group_name_Hall 'I -4 -2'
loop_
_atom_site_label
_atom_site_fract_x
_atom_site_fract_y
_atom_site_fract_z
Cu1 0.000 0.000 0.000
Cu2 0.000 0.500 0.250
Te1 0.000 0.000 0.500
Pb1 0.000 0.500 0.750

---

# Cu2TePb PBE-GGA optimized geometry
# Energy above the lowest structure with this stoichiometry   1.354 kcal/mol of atoms
# Raw formation energy   0.09 eV per atom
# Calculated total energy   -3.668 eV/atom
# Density of states at the Fermi level   1.61 states/eV/cell
# Theoretical density   8.474 Mg/m³
data_Cu2TePb
_cell_length_a 4.680
_cell_length_b 4.347
_cell_length_c 4.740
_cell_angle_alpha 90.00
_cell_angle_beta 110.16
_cell_angle_gamma 90.00
_space_group_name_H-M_alt 'P 1 m 1'
_space_group_IT_number 6
_space_group_name_Hall 'P -2y'
loop_
_atom_site_label
_atom_site_fract_x
_atom_site_fract_y
_atom_site_fract_z
Cu1 0.000 0.000 0.000
Cu2 0.121 0.500 0.819
Te1 0.797 0.500 0.196
Pb1 0.377 0.000 0.616

---

# Cu2TePb PBE-GGA optimized geometry
# Energy above the lowest structure with this stoichiometry   10.361 kcal/mol of atoms
# Raw formation energy   0.48 eV per atom
# Calculated total energy   -3.277 eV/atom
# Density of states at the Fermi level   6.41 states/eV/cell
# Theoretical density   8.502 Mg/m³
data_Cu2TePb
_cell_length_a 7.119
_cell_length_b 7.119
_cell_length_c 7.119
_cell_angle_alpha 90.00
_cell_angle_beta 90.00
_cell_angle_gamma 90.00
_space_group_name_H-M_alt 'F -4 3 m'
_space_group_IT_number 216
_space_group_name_Hall 'F -4 2 3'
loop_
_atom_site_label
_atom_site_fract_x
_atom_site_fract_y
_atom_site_fract_z
Cu1 0.000 0.000 0.000
Cu2 0.250 0.250 0.250
Te1 0.000 0.000 0.500
Pb1 0.250 0.250 0.750

---

# Cu4TePb PBE-GGA optimized geometry
# Raw formation energy   0.19 eV per atom
# Calculated total energy   -3.678 eV/atom
# Density of states at the Fermi level   12.28 states/eV/cell
# Theoretical density   9.405 Mg/m³
data_Cu4TePb
_cell_length_a 7.465
_cell_length_b 7.465
_cell_length_c 7.465
_cell_angle_alpha 90.00
_cell_angle_beta 90.00
_cell_angle_gamma 90.00
_space_group_name_H-M_alt 'F -4 3 m'
_space_group_IT_number 216
_space_group_name_Hall 'F -4 2 3'
loop_
_atom_site_label
_atom_site_fract_x
_atom_site_fract_y
_atom_site_fract_z
Cu1 0.125 0.125 0.125
Te1 0.000 0.000 0.500
Pb1 0.250 0.250 0.750